A plane-wave DFT calculation with PBE was carried out for a relaxed structure of KSb3Au3.

## Properties
raw total energy	-3.434	eV/atom
density of states at the Fermi level	4.54	states/eV/f.u.

Cell: 8.0686 8.0686 9.2998 Å, 64.29 64.29 60.00°
Last column: nearest neighbours and their distance in Å.
Fractional coordinates of all 14 atoms:
Au 0.1115 0.4699 0.6691  4 Sb 2.67-2.84
Au 0.8885 0.5301 0.3309  4 Sb 2.67-2.84
Au 0.7495 0.1115 0.6691  4 Sb 2.67-2.84
Au 0.2505 0.8885 0.3309  4 Sb 2.67-2.84
Au 0.4699 0.7495 0.6691  4 Sb 2.67-2.84
Au 0.5301 0.2505 0.3309  4 Sb 2.67-2.84
K 0.3325 0.3325 0.0025  6 Au 3.70-3.72, 6 Sb 3.77-3.80
K 0.6675 0.6675 0.9975  6 Au 3.70-3.72, 6 Sb 3.77-3.80
Sb 0.5854 0.8952 0.3169  4 Au 2.67-2.84
Sb 0.2026 0.5854 0.3169  4 Au 2.67-2.84
Sb 0.8952 0.2026 0.3169  4 Au 2.67-2.84
Sb 0.7974 0.4146 0.6831  4 Au 2.67-2.84
Sb 0.4146 0.1048 0.6831  4 Au 2.67-2.84
Sb 0.1048 0.7974 0.6831  4 Au 2.67-2.84